Here is a crystal of Ho4Al2O9 relaxed with PBEsol from Alexandria. Energies are from meta-GGA SCAN.

Unit cell a=7.277 b=10.380 c=11.063 alpha=90.00 beta=108.33 gamma=90.00
Fractional coordinates of all 60 atoms:
Ho  0.022  0.097  0.305
Ho  0.022  0.403  0.805
Ho  0.164  0.619  0.587
Ho  0.164  0.881  0.087
Ho  0.340  0.126  0.938
Ho  0.340  0.374  0.438
Ho  0.477  0.612  0.217
Ho  0.477  0.888  0.717
Ho  0.523  0.112  0.283
Ho  0.523  0.388  0.783
Ho  0.660  0.626  0.562
Ho  0.660  0.874  0.062
Ho  0.836  0.119  0.913
Ho  0.836  0.381  0.413
Ho  0.978  0.597  0.195
Ho  0.978  0.903  0.695
Al  0.214  0.178  0.627
Al  0.214  0.322  0.127
Al  0.345  0.676  0.888
Al  0.345  0.824  0.388
Al  0.655  0.176  0.612
Al  0.655  0.324  0.112
Al  0.786  0.678  0.873
Al  0.786  0.822  0.373
O  0.070  0.235  0.478
O  0.070  0.265  0.978
O  0.079  0.507  0.394
O  0.079  0.993  0.894
O  0.210  0.738  0.253
O  0.210  0.762  0.753
O  0.212  0.014  0.652
O  0.212  0.486  0.152
O  0.231  0.240  0.270
O  0.231  0.260  0.770
O  0.304  0.516  0.837
O  0.304  0.984  0.337
O  0.363  0.732  0.041
O  0.363  0.768  0.541
O  0.432  0.242  0.614
O  0.432  0.258  0.114
O  0.437  0.508  0.608
O  0.437  0.992  0.108
O  0.563  0.008  0.892
O  0.563  0.492  0.392
O  0.568  0.742  0.886
O  0.568  0.758  0.386
O  0.637  0.232  0.459
O  0.637  0.268  0.959
O  0.696  0.016  0.663
O  0.696  0.484  0.163
O  0.769  0.740  0.230
O  0.769  0.760  0.730
O  0.788  0.514  0.848
O  0.788  0.986  0.348
O  0.790  0.238  0.247
O  0.790  0.262  0.747
O  0.921  0.007  0.106
O  0.921  0.493  0.606
O  0.930  0.735  0.022
O  0.930  0.765  0.522

Values from the calculation:
Total magnetization: 0.0000 μB per atom
DOS(E_F): 0.00 states/eV per cell
E_form (uncorrected): -362 kJ/mol of atoms
Total energy: -21.5920 eV per atom
Density: 7.18 g/cm3